## TlNiF3 (PBE with a Hubbard U)

Data for a geometry-optimized TlNiF3 structure.

The value obtained for the density of states at the Fermi level is 0.000 states/eV/cell. For the total energy, the calculation gives -4.0420 eV/atom. The value obtained for the volume is 81.8 Å³/f.u. The energy above the most stable polymorph in this dataset is 0.091 eV per atom. The density is 6494 kg/m³. The calculation puts the magnetization at 4.00 μB/cell.

a = 4.8860 Å, b = 5.8619 Å, c = 5.7320 Å
α = 90.00°, β = 94.35°, γ = 90.00°
Last column: nearest neighbours and their distance in Å.
Space group P2_1/m (No. 11)
Symmetry-distinct sites (fractional):
Tl 0.1716 0.2500 0.4076 (multiplicity 2)  8 F 2.70-3.00
Ni 0.4520 0.7500 0.0545 (multiplicity 2)  5 F 1.95-2.01
F 0.2783 0.5006 0.8584 (multiplicity 4)  2 Ni 1.99-2.01
F 0.2803 0.7500 0.3500 (multiplicity 2)  1 Ni 1.95